--- one ---
A relaxed structure of ScTl5. Source: Alexandria, functional GGA-PBEsol.

Geometry as POSCAR:
```
ScTl5
1.0
-3.151 1.699 0.068
-1.705 -3.000 -4.032
-1.291 -6.378 5.292
Tl Sc
5 1
direct
0.459 0.500 0.918 Tl
0.789 0.500 0.579 Tl
0.327 0.000 0.654 Tl
0.120 0.500 0.241 Tl
0.649 0.000 0.299 Tl
0.988 0.000 0.977 Sc
```

Results
As for the space group: No. 38.

--- two ---
A relaxed structure of ScTl5. Source: Alexandria, functional GGA-PBEsol.

Geometry as POSCAR:
```
ScTl5
1.0
-3.222 0.486 -1.042
-0.390 -3.168 5.344
0.703 7.968 1.539
Tl Sc
5 1
direct
0.025 0.049 0.595 Tl
0.320 0.640 0.708 Tl
0.705 0.410 0.948 Tl
0.701 0.402 0.351 Tl
0.414 0.827 0.239 Tl
0.002 0.005 0.993 Sc
```

Results
As for the space group: No. 8.

--- three ---
A relaxed structure of ScTl5. Source: Alexandria, functional GGA-PBEsol.

Geometry as POSCAR:
```
ScTl5
1.0
3.476 0.000 0.000
0.000 3.476 0.000
0.000 0.000 12.971
Tl Sc
5 1
direct
0.500 0.500 0.183 Tl
0.000 0.000 0.355 Tl
0.000 0.000 0.645 Tl
0.000 0.000 0.000 Tl
0.500 0.500 0.817 Tl
0.500 0.500 0.500 Sc
```

Results
As for the space group: No. 123.

Which of them is the most stable? Correct choice: three.

--- one ---
A relaxed structure of Sc5Tl3. Source: Alexandria, functional GGA-PBEsol.

Geometry as POSCAR:
```
Sc5Tl3
1.0
-3.862 1.831 -4.263
-6.203 -4.202 3.815
1.534 8.008 2.050
Tl Sc
6 10
direct
0.250 0.600 0.600 Tl
0.750 0.600 0.000 Tl
0.250 0.400 0.000 Tl
0.750 0.400 0.400 Tl
0.750 0.000 0.600 Tl
0.250 0.000 0.400 Tl
0.250 0.766 0.000 Sc
0.000 0.667 0.333 Sc
0.250 0.000 0.766 Sc
0.000 0.333 0.667 Sc
0.750 0.766 0.766 Sc
0.500 0.333 0.667 Sc
0.750 0.234 0.000 Sc
0.250 0.234 0.234 Sc
0.500 0.667 0.333 Sc
0.750 0.000 0.234 Sc
```

Results
As for the space group: No. 193.

--- two ---
A relaxed structure of Sc5Tl3. Source: Alexandria, functional GGA-PBEsol.

Geometry as POSCAR:
```
Sc5Tl3
1.0
4.825 0.000 0.000
0.000 6.226 -0.530
0.000 -1.301 6.112
Tl Sc
3 5
direct
0.000 0.500 0.500 Tl
0.500 0.209 0.791 Tl
0.500 0.791 0.209 Tl
0.000 0.000 0.500 Sc
0.500 0.717 0.717 Sc
0.000 0.000 0.000 Sc
0.000 0.500 0.000 Sc
0.500 0.283 0.283 Sc
```

Results
As for the space group: No. 65.

Which of them is the most stable? Correct choice: one.

--- one ---
A relaxed structure of ScTl2Zn. Source: Alexandria, functional GGA-PBEsol.

Geometry as POSCAR:
```
ScTl2Zn
1.0
-0.624 -2.410 2.533
3.037 -1.497 -1.071
3.465 3.817 4.487
Tl Sc Zn
2 1 1
direct
0.000 0.000 0.267 Tl
0.000 0.000 0.733 Tl
0.500 0.500 0.000 Sc
0.500 0.500 0.500 Zn
```

Results
As for the space group: No. 65.

--- two ---
A relaxed structure of ScTl2Zn. Source: Alexandria, functional GGA-PBEsol.

Geometry as POSCAR:
```
ScTl2Zn
1.0
-0.391 2.796 1.655
-2.705 1.546 -3.251
-4.626 -2.877 2.481
Sc Tl Zn
1 2 1
direct
0.000 0.500 0.500 Sc
0.650 0.000 0.753 Tl
0.350 0.000 0.247 Tl
0.500 0.500 0.000 Zn
```

Results
As for the space group: No. 10.

--- three ---
A relaxed structure of ScTl2Zn. Source: Alexandria, functional GGA-PBEsol.

Geometry as POSCAR:
```
ScTl2Zn
1.0
-1.650 4.712 -0.391
-4.888 0.987 0.457
-1.701 2.402 4.052
Tl Sc Zn
2 1 1
direct
0.750 0.750 0.750 Tl
0.000 0.000 0.000 Tl
0.500 0.500 0.500 Sc
0.250 0.250 0.250 Zn
```

Results
As for the space group: No. 216.

Which of them is the most stable? Correct choice: one.

--- one ---
A relaxed structure of Zr2ScTl. Source: Alexandria, functional GGA-PBEsol.

Geometry as POSCAR:
```
Zr2ScTl
1.0
4.375 0.000 0.000
0.000 4.375 0.000
0.000 0.000 4.495
Zr Tl Sc
2 1 1
direct
0.500 0.000 0.000 Zr
0.000 0.500 0.000 Zr
0.000 0.000 0.500 Tl
0.500 0.500 0.500 Sc
```

Results
As for the space group: No. 123.

--- two ---
A relaxed structure of Zr2ScTl. Source: Alexandria, functional GGA-PBEsol.

Geometry as POSCAR:
```
Zr2ScTl
1.0
3.247 0.000 0.000
0.000 4.162 0.000
0.000 0.000 6.512
Sc Zr Tl
1 2 1
direct
0.000 0.000 0.503 Sc
0.500 0.500 0.245 Zr
0.000 0.000 0.006 Zr
0.500 0.500 0.747 Tl
```

Results
As for the space group: No. 25.

--- three ---
A relaxed structure of Zr2ScTl. Source: Alexandria, functional GGA-PBEsol.

Geometry as POSCAR:
```
Zr2ScTl
1.0
4.335 0.000 0.000
0.000 4.335 0.000
-2.168 -2.168 4.620
Tl Sc Zr
1 1 2
direct
0.250 0.750 0.500 Tl
0.500 0.500 0.000 Sc
0.000 0.000 0.000 Zr
0.750 0.250 0.500 Zr
```

Results
As for the space group: No. 119.

Which of them is the most stable? Correct choice: one.

--- one ---
A relaxed structure of ScW. Source: Alexandria, functional GGA-PBEsol.

Geometry as POSCAR:
```
ScW
1.0
-1.834 0.073 2.095
-3.151 -1.921 -2.691
2.640 -5.228 0.642
W Sc
2 2
direct
0.562 0.750 0.123 W
0.438 0.250 0.877 W
0.176 0.250 0.353 Sc
0.824 0.750 0.647 Sc
```

Results
As for the space group: No. 63.

--- two ---
A relaxed structure of ScW. Source: Alexandria, functional GGA-PBEsol.

Geometry as POSCAR:
```
ScW
1.0
-1.193 1.756 1.710
-0.620 -3.518 3.179
4.842 1.140 2.207
Sc W
2 2
direct
0.500 0.500 0.389 Sc
0.000 0.000 0.611 Sc
0.000 0.500 0.895 W
0.500 0.000 0.105 W
```

Results
As for the space group: No. 59.

--- three ---
A relaxed structure of ScW. Source: Alexandria, functional GGA-PBEsol.

Geometry as POSCAR:
```
ScW
1.0
3.273 0.000 0.000
0.000 3.273 0.000
0.000 0.000 3.273
Sc W
1 1
direct
0.000 0.000 0.000 Sc
0.500 0.500 0.500 W
```

Results
As for the space group: No. 221.

Which of them is the most stable? Correct choice: one.

--- one ---
A relaxed structure of ScW. Source: Alexandria, functional GGA-PBEsol.

Geometry as POSCAR:
```
ScW
1.0
3.086 0.000 0.000
-1.543 2.672 0.000
0.000 0.000 9.284
Sc W
2 2
direct
0.667 0.333 0.154 Sc
0.333 0.667 0.846 Sc
0.667 0.333 0.602 W
0.333 0.667 0.398 W
```

Results
As for the space group: No. 164.

--- two ---
A relaxed structure of ScW. Source: Alexandria, functional GGA-PBEsol.

Geometry as POSCAR:
```
ScW
1.0
-0.806 2.002 -2.363
-3.096 -0.579 0.566
-0.171 5.663 4.858
W Sc
2 2
direct
0.500 0.000 0.406 W
0.000 0.500 0.594 W
0.000 0.500 0.171 Sc
0.500 0.000 0.829 Sc
```

Results
As for the space group: No. 129.

--- three ---
A relaxed structure of ScW. Source: Alexandria, functional GGA-PBEsol.

Geometry as POSCAR:
```
ScW
1.0
-0.242 -2.881 0.029
1.405 1.311 -2.160
4.197 -0.328 2.531
W Sc
1 1
direct
0.667 0.333 0.500 W
0.000 0.000 0.000 Sc
```

Results
As for the space group: No. 187.

Which of them is the most stable? Correct choice: two.

--- one ---
A relaxed structure of Sc3W. Source: Alexandria, functional GGA-PBEsol.

Geometry as POSCAR:
```
Sc3W
1.0
-2.713 1.275 0.438
-2.455 -1.742 0.342
-0.186 -0.346 10.332
Sc W
3 1
direct
0.243 0.243 0.272 Sc
0.000 0.000 0.000 Sc
0.757 0.757 0.728 Sc
0.500 0.500 0.500 W
```

Results
As for the space group: No. 166.

--- two ---
A relaxed structure of Sc3W. Source: Alexandria, functional GGA-PBEsol.

Geometry as POSCAR:
```
Sc3W
1.0
-1.976 -1.891 -1.174
2.960 -0.356 -4.409
1.444 -3.706 3.537
Sc W
3 1
direct
0.500 0.000 0.500 Sc
0.500 0.500 0.000 Sc
0.000 0.000 0.000 Sc
0.000 0.500 0.500 W
```

Results
As for the space group: No. 65.

Which of them is the most stable? Correct choice: two.

--- one ---
A relaxed structure of Sc2W. Source: Alexandria, functional GGA-PBEsol.

Geometry as POSCAR:
```
Sc2W
1.0
4.521 0.000 0.000
0.000 4.861 0.000
0.000 2.430 5.293
W Sc
2 4
direct
0.250 0.063 0.874 W
0.750 0.937 0.126 W
0.750 0.579 0.841 Sc
0.750 0.240 0.520 Sc
0.250 0.760 0.480 Sc
0.250 0.421 0.159 Sc
```

Results
As for the space group: No. 63.

--- two ---
A relaxed structure of Sc2W. Source: Alexandria, functional GGA-PBEsol.

Geometry as POSCAR:
```
Sc2W
1.0
2.850 0.000 0.000
0.000 2.850 0.000
-1.425 -1.425 7.207
Sc W
2 1
direct
0.348 0.348 0.696 Sc
0.652 0.652 0.304 Sc
0.000 0.000 0.000 W
```

Results
As for the space group: No. 139.

Which of them is the most stable? Correct choice: one.

--- one ---
A relaxed structure of ZrSc2W. Source: Alexandria, functional GGA-PBEsol.

Geometry as POSCAR:
```
ZrSc2W
1.0
4.100 0.000 0.000
0.000 4.100 0.000
0.000 0.000 4.713
Sc W Zr
2 1 1
direct
0.000 0.500 0.000 Sc
0.500 0.000 0.000 Sc
0.500 0.500 0.500 W
0.000 0.000 0.500 Zr
```

Results
As for the space group: No. 123.

--- two ---
A relaxed structure of ZrSc2W. Source: Alexandria, functional GGA-PBEsol.

Geometry as POSCAR:
```
ZrSc2W
1.0
2.870 0.000 0.000
0.000 4.625 0.000
0.000 0.000 5.989
Sc Zr W
2 1 1
direct
0.000 0.000 0.999 Sc
0.500 0.500 0.268 Sc
0.500 0.500 0.732 Zr
0.000 0.000 0.500 W
```

Results
As for the space group: No. 25.

Which of them is the most stable? Correct choice: one.

--- one ---
A relaxed structure of ZrScW2. Source: Alexandria, functional GGA-PBEsol.

Geometry as POSCAR:
```
ZrScW2
1.0
3.913 0.000 0.000
0.000 3.913 0.000
-1.956 -1.956 4.708
W Sc Zr
2 1 1
direct
0.250 0.750 0.500 W
0.750 0.250 0.500 W
0.000 0.000 0.000 Sc
0.500 0.500 0.000 Zr
```

Results
As for the space group: No. 139.

--- two ---
A relaxed structure of ZrScW2. Source: Alexandria, functional GGA-PBEsol.

Geometry as POSCAR:
```
ZrScW2
1.0
-0.060 -2.531 -3.914
-2.199 -4.110 -0.085
-3.963 -0.474 -2.408
W Zr Sc
2 1 1
direct
0.250 0.250 0.250 W
0.750 0.750 0.750 W
0.500 0.500 0.500 Zr
0.000 0.000 0.000 Sc
```

Results
As for the space group: No. 225.

Which of them is the most stable? Correct choice: one.

--- one ---
A relaxed structure of YSc. Source: Alexandria, functional GGA-PBEsol.

Geometry as POSCAR:
```
YSc
1.0
3.332 0.000 0.000
0.000 5.279 0.000
-1.666 0.000 6.123
Y Sc
2 2
direct
0.568 0.750 0.137 Y
0.432 0.250 0.863 Y
0.824 0.750 0.648 Sc
0.176 0.250 0.352 Sc
```

Results
As for the space group: No. 63.

--- two ---
A relaxed structure of YSc. Source: Alexandria, functional GGA-PBEsol.

Geometry as POSCAR:
```
YSc
1.0
3.440 0.000 0.000
0.000 5.333 0.000
0.000 0.000 5.917
Y Sc
2 2
direct
0.000 0.500 0.913 Y
0.500 0.000 0.087 Y
0.000 0.000 0.581 Sc
0.500 0.500 0.419 Sc
```

Results
As for the space group: No. 59.

Which of them is the most stable? Correct choice: two.